No. 1
{
  "formula": "TbCeZnAg",
  "functional": "PBE",
  "state": "relaxed",
  "cell": [[0.0000, 3.6608, 3.6608], [3.6608, 0.0000, 3.6608], [3.6608, 3.6608, 0.0000]],
  "species": ["Tb", "Ce", "Zn", "Ag"],
  "frac_coords": [[0.0000, 0.0000, 0.0000], [0.5000, 0.5000, 0.5000], [0.7500, 0.7500, 0.7500], [0.2500, 0.2500, 0.2500]],
  "polymorph_energy_mev_per_atom": 29,
  "magmom_total_mub_per_cell": 1.152,
  "final_energy_ev_per_atom": -3.86,
  "dos_at_fermi_per_ev_fu": 9.89
}



No. 2
{
  "formula": "TbCeZnAg",
  "functional": "PBE",
  "state": "relaxed",
  "cell": [[3.6051, 0.0000, 0.0000], [0.0000, 3.6051, 0.0000], [0.0000, 0.0000, 7.4716]],
  "species": ["Tb", "Ce", "Zn", "Ag"],
  "frac_coords": [[0.0000, 0.0000, 0.0000], [0.0000, 0.0000, 0.5180], [0.5000, 0.5000, 0.7674], [0.5000, 0.5000, 0.2392]],
  "polymorph_energy_mev_per_atom": 0,
  "magmom_total_mub_per_cell": 1.097,
  "final_energy_ev_per_atom": -3.89,
  "dos_at_fermi_per_ev_fu": 8.58
}



No. 3
{
  "formula": "Ce2TcAg",
  "functional": "PBE",
  "state": "relaxed",
  "cell": [[1.9969, 1.1529, 7.3824], [-1.9969, 1.1529, 7.3824], [0.0000, -2.3058, 7.3824]],
  "species": ["Ce", "Ce", "Tc", "Ag"],
  "frac_coords": [[0.2352, 0.2352, 0.2352], [0.7648, 0.7648, 0.7648], [0.5000, 0.5000, 0.5000], [0.0000, 0.0000, 0.0000]],
  "magmom_total_mub_per_cell": 0.000,
  "final_energy_ev_per_atom": -6.22,
  "dos_at_fermi_per_ev_fu": 4.84
}